Here is a geometry-optimized TbSm5Ho2Tm structure from the Alexandria database. Energies are from PBE-GGA.

Lattice parameters (Å, degrees): 10.468 10.468 10.644 90.00 90.00 148.93
Atoms (fractional coordinates):
Tb 0.199 0.801 0.500
Tb 0.801 0.199 0.000
Sm 0.017 0.983 0.510
Sm 0.281 0.719 0.800
Sm 0.299 0.701 0.196
Sm 0.388 0.612 0.512
Sm 0.481 0.519 0.232
Sm 0.519 0.481 0.732
Sm 0.612 0.388 0.012
Sm 0.701 0.299 0.696
Sm 0.719 0.281 0.300
Sm 0.983 0.017 0.010
Ho 0.111 0.889 0.228
Ho 0.115 0.885 0.803
Ho 0.885 0.115 0.303
Ho 0.889 0.111 0.728
Tm 0.410 0.590 0.951
Tm 0.590 0.410 0.451

Values from the calculation:
density of states at the Fermi level = 1.61 states/eV per atom
energy relative to the elements = 0.1473 eV/atom
magnetization = 0.000 μB/f.u.

---

Here is a geometry-optimized TbSm2Y2Ho2 structure from the Alexandria database. Energies are from PBE-GGA.

Lattice parameters (Å, degrees): 8.807 8.807 8.807 37.71 37.71 37.71
Atoms (fractional coordinates):
Tb 0.000 0.000 0.000
Sm 0.285 0.285 0.285
Sm 0.715 0.715 0.715
Y 0.142 0.142 0.142
Y 0.858 0.858 0.858
Ho 0.430 0.430 0.430
Ho 0.570 0.570 0.570

Values from the calculation:
density of states at the Fermi level = 2.49 states/eV per atom
energy relative to the elements = 0.1353 eV/atom
magnetization = 0.000 μB/f.u.